No. 1
Nd16Sm7Dy6: optimized geometry, GGA-PBE.

Unit cell a=16.0843 b=16.0843 c=16.0843 alpha=90.00 beta=90.00 gamma=90.00
Space group Fm-3m (No. 225)
Symmetry-distinct sites (fractional):
Nd: 0.1254 0.1254 0.1254 (multiplicity 32)
Nd: 0.1503 0.1503 0.3497 (multiplicity 32)
Sm: 0.0000 0.0000 0.0000 (multiplicity 4)
Sm: 0.0000 0.2500 0.2500 (multiplicity 24)
Dy: 0.0000 0.0000 0.2653 (multiplicity 24)

Results
- Uncorrected energy: -0.16552 Ha/atom
- Total moment: 0.000 μB/f.u.
- Crystal system: cubic

No. 2
Nd3Sm2Dy5: optimized geometry, GGA-PBE.

Unit cell a=10.7289 b=16.2869 c=9.3765 alpha=90.00 beta=124.87 gamma=90.00
Space group C2/c (No. 15)
Symmetry-distinct sites (fractional):
Nd: 0.0000 0.0181 0.2500 (multiplicity 4)
Nd: 0.1523 0.3747 0.5480 (multiplicity 8)
Sm: 0.1441 0.1301 0.0446 (multiplicity 8)
Dy: 0.0000 0.2255 0.2500 (multiplicity 4)
Dy: 0.0000 0.2785 0.7500 (multiplicity 4)
Dy: 0.0000 0.4764 0.7500 (multiplicity 4)
Dy: 0.2399 0.3666 0.2318 (multiplicity 8)

Results
- Uncorrected energy: -0.16502 Ha/atom
- Total moment: 0.000 μB/f.u.
- Crystal system: monoclinic

No. 3
NdSm2Dy7: optimized geometry, GGA-PBE.

Unit cell a=6.1840 b=7.1410 c=7.9825 alpha=77.13 beta=75.11 gamma=73.25
Space group P-1 (No. 2)
Symmetry-distinct sites (fractional):
Nd: 0.0000 0.0000 0.0000 (multiplicity 1)
Sm: 0.2003 0.3003 0.6001 (multiplicity 2)
Dy: 0.0000 0.5000 0.0000 (multiplicity 1)
Dy: 0.2003 0.7996 0.6001 (multiplicity 2)
Dy: 0.3997 0.1002 0.1999 (multiplicity 2)
Dy: 0.4009 0.5995 0.2000 (multiplicity 2)

Results
- Uncorrected energy: -0.17003 Ha/atom
- Total moment: 0.000 μB/f.u.
- Crystal system: triclinic

No. 4
NdSmDy: optimized geometry, GGA-PBE.

Unit cell a=3.6152 b=3.6152 c=8.8533 alpha=90.00 beta=90.00 gamma=120.00
Space group P3m1 (No. 156)
Symmetry-distinct sites (fractional):
Nd: 0.0000 0.0000 0.0000 (multiplicity 1)
Sm: 0.6667 0.3333 0.3407 (multiplicity 1)
Dy: 0.3333 0.6667 0.6682 (multiplicity 1)

Results
- Uncorrected energy: -0.17198 Ha/atom
- Total moment: 0.000 μB/f.u.
- Crystal system: trigonal